(1)
# MgSiSe (PBE, relaxed)
data_MgSiSe
_cell_length_a 7.173
_cell_length_b 7.173
_cell_length_c 7.173
_cell_angle_alpha 147.73
_cell_angle_beta 61.22
_cell_angle_gamma 129.49
_symmetry_space_group_name_H-M 'P 1'
_symmetry_Int_Tables_number 1
loop_
_symmetry_equiv_pos_as_xyz
'x,y,z'
loop_
_atom_site_label
_atom_site_type_symbol
_atom_site_fract_x
_atom_site_fract_y
_atom_site_fract_z
Mg1 Mg 0.160 0.000 0.160
Mg2 Mg 0.840 0.000 0.840
Si1 Si 0.278 0.278 0.000
Si2 Si 0.482 0.982 0.500
Se1 Se 0.565 0.222 0.344
Se2 Se 0.878 0.222 0.656
# Offset from the most stable computed form (meV/atom): 130
# Formation energy from raw total energies (eV per atom): -0.523


(2)
# LiPuScGa (PBE, relaxed)
data_LiPuScGa
_cell_length_a 4.937
_cell_length_b 4.937
_cell_length_c 4.937
_cell_angle_alpha 60.00
_cell_angle_beta 60.00
_cell_angle_gamma 60.00
_symmetry_space_group_name_H-M 'P 1'
_symmetry_Int_Tables_number 1
loop_
_symmetry_equiv_pos_as_xyz
'x,y,z'
loop_
_atom_site_label
_atom_site_type_symbol
_atom_site_fract_x
_atom_site_fract_y
_atom_site_fract_z
Li1 Li 0.000 0.000 0.000
Pu1 Pu 0.250 0.250 0.250
Sc1 Sc 0.750 0.750 0.750
Ga1 Ga 0.500 0.500 0.500
# Formation energy from the elements (eV per atom): -0.115


(3)
# InGe2S (PBE, relaxed)
data_InGe2S
_cell_length_a 7.594
_cell_length_b 7.594
_cell_length_c 7.594
_cell_angle_alpha 134.32
_cell_angle_beta 134.32
_cell_angle_gamma 66.58
_symmetry_space_group_name_H-M 'P 1'
_symmetry_Int_Tables_number 1
loop_
_symmetry_equiv_pos_as_xyz
'x,y,z'
loop_
_atom_site_label
_atom_site_type_symbol
_atom_site_fract_x
_atom_site_fract_y
_atom_site_fract_z
In1 In 0.000 0.000 0.000
In2 In 0.750 0.250 0.500
Ge1 Ge 0.152 0.625 0.027
Ge2 Ge 0.375 0.402 0.527
Ge3 Ge 0.598 0.125 0.973
Ge4 Ge 0.875 0.848 0.473
S1 S 0.250 0.750 0.500
S2 S 0.500 0.500 0.000
# Offset from the most stable computed form (meV/atom): 0
# Formation energy from raw total energies (eV per atom): 0.208


(4)
# Li2CoNiN (PBE, relaxed)
data_Li2CoNiN
_cell_length_a 3.904
_cell_length_b 3.904
_cell_length_c 3.472
_cell_angle_alpha 90.00
_cell_angle_beta 90.00
_cell_angle_gamma 90.00
_symmetry_space_group_name_H-M 'P 1'
_symmetry_Int_Tables_number 1
loop_
_symmetry_equiv_pos_as_xyz
'x,y,z'
loop_
_atom_site_label
_atom_site_type_symbol
_atom_site_fract_x
_atom_site_fract_y
_atom_site_fract_z
Li1 Li 0.000 0.500 0.000
Li2 Li 0.500 0.000 0.000
Co1 Co 0.000 0.000 0.500
Ni1 Ni 0.500 0.500 0.500
N1 N 0.000 0.000 0.000
# Formation energy from raw total energies (eV per atom): -0.030


(5)
# NdAl2Ga (PBE, relaxed)
data_NdAl2Ga
_cell_length_a 4.337
_cell_length_b 4.337
_cell_length_c 4.435
_cell_angle_alpha 90.00
_cell_angle_beta 90.00
_cell_angle_gamma 90.00
_symmetry_space_group_name_H-M 'P 1'
_symmetry_Int_Tables_number 1
loop_
_symmetry_equiv_pos_as_xyz
'x,y,z'
loop_
_atom_site_label
_atom_site_type_symbol
_atom_site_fract_x
_atom_site_fract_y
_atom_site_fract_z
Nd1 Nd 0.000 0.000 0.000
Al1 Al 0.000 0.500 0.500
Al2 Al 0.500 0.000 0.500
Ga1 Ga 0.500 0.500 0.000
# Offset from the most stable computed form (meV/atom): 0
# Formation energy from the elements (eV per atom): -0.413


(6)
# SrTeW2 (PBE, relaxed)
data_SrTeW2
_cell_length_a 2.933
_cell_length_b 5.552
_cell_length_c 5.373
_cell_angle_alpha 90.00
_cell_angle_beta 90.40
_cell_angle_gamma 90.00
_symmetry_space_group_name_H-M 'P 1'
_symmetry_Int_Tables_number 1
loop_
_symmetry_equiv_pos_as_xyz
'x,y,z'
loop_
_atom_site_label
_atom_site_type_symbol
_atom_site_fract_x
_atom_site_fract_y
_atom_site_fract_z
Sr1 Sr 0.000 0.000 0.000
Te1 Te 0.500 0.000 0.500
W1 W 0.429 0.500 0.750
W2 W 0.571 0.500 0.250
# Formation energy from raw total energies (eV per atom): 0.907